(1)
{
  "formula": "TbTm2MoO8",
  "functional": "PBE with a Hubbard U",
  "state": "relaxed",
  "energy_ev_per_cell": -92.87,
  "m_tot_mub_per_atom": 0.046,
  "lattice": [[3.5161, -3.5548, 0.0000], [3.5161, 3.5548, 0.0000], [0.0000, 0.0000, 6.7660]],
  "species": ["Tb", "Tm", "Tm", "Mo", "O", "O", "O", "O", "O", "O", "O", "O"],
  "frac_coords": [[0.0000, 0.0000, 0.0000], [0.5000, 0.5000, 0.2524], [0.5000, 0.5000, 0.7476], [0.0000, 0.0000, 0.5000], [0.1856, 0.8144, 0.2884], [0.1856, 0.8144, 0.7116], [0.2785, 0.2785, 0.5000], [0.3116, 0.3116, 0.0000], [0.6884, 0.6884, 0.0000], [0.7215, 0.7215, 0.5000], [0.8144, 0.1856, 0.2884], [0.8144, 0.1856, 0.7116]]
}

---

(2)
{
  "formula": "BaNiPd2F8",
  "functional": "PBE with a Hubbard U",
  "state": "relaxed",
  "energy_ev_per_cell": -51.97,
  "m_tot_mub_per_atom": 0.504,
  "lattice": [[5.3251, 0.0000, 0.0000], [-2.6625, 4.6116, 0.0000], [0.0000, 0.0000, 7.2768]],
  "species": ["Ba", "Ni", "Pd", "Pd", "F", "F", "F", "F", "F", "F", "F", "F"],
  "frac_coords": [[0.0000, 0.0000, 0.0000], [0.0000, 0.0000, 0.5000], [0.3333, 0.6667, 0.6533], [0.6667, 0.3333, 0.3467], [0.0729, 0.7476, 0.3322], [0.2524, 0.3253, 0.3322], [0.3253, 0.0729, 0.6678], [0.3333, 0.6667, 0.9416], [0.6667, 0.3333, 0.0584], [0.6747, 0.9271, 0.3322], [0.7476, 0.6747, 0.6678], [0.9271, 0.2524, 0.6678]]
}

---

In kg/m3, the theoretical density values for the records above are, in order, 7076; 5212.